*a*
This record from Alexandria describes Th3TlHg5 after structural relaxation. The functional is PBE.

Summary:
magnetization = 0.0 μB per formula unit
calculated volume = 28.2 Å³ per atom

The structure in CIF format:
```
data_Th3TlHg5
_symmetry_space_group_name_H-M 'I 4/m c m'
_symmetry_Int_Tables_number 140
_symmetry_space_group_name_Hall '-I 4 2c'
_cell_length_a 8.8033
_cell_length_b 8.8033
_cell_length_c 13.0996
_cell_angle_alpha 90.00
_cell_angle_beta 90.00
_cell_angle_gamma 90.00
loop_
_atom_site_label
_atom_site_type_symbol
_atom_site_fract_x
_atom_site_fract_y
_atom_site_fract_z
Th1 Th 0.0000 0.0000 0.2500
Th2 Th 0.1214 0.3786 0.0000
Tl1 Tl 0.0000 0.5000 0.2500
Hg1 Hg 0.0000 0.0000 0.0000
Hg2 Hg 0.1971 0.3029 0.3533
```

***

*b*
This record from Alexandria describes Th3TlHg5 after structural relaxation. The functional is PBE.

Summary:
magnetization = 0.0 μB per formula unit
calculated volume = 26.9 Å³ per atom

The structure in CIF format:
```
data_Th3TlHg5
_symmetry_space_group_name_H-M 'P 63/m c m'
_symmetry_Int_Tables_number 193
_symmetry_space_group_name_Hall '-P 6c 2'
_cell_length_a 9.2136
_cell_length_b 9.2136
_cell_length_c 6.5911
_cell_angle_alpha 90.00
_cell_angle_beta 90.00
_cell_angle_gamma 120.00
loop_
_atom_site_label
_atom_site_type_symbol
_atom_site_fract_x
_atom_site_fract_y
_atom_site_fract_z
Th1 Th 0.0000 0.3384 0.2500
Tl1 Tl 0.0000 0.0000 0.0000
Hg1 Hg 0.0000 0.3314 0.7500
Hg2 Hg 0.3333 0.6667 0.0000
```

***

Most stable to least stable: *b*, *a*

***

*a*
This record from Alexandria describes ThTlHg4 after structural relaxation. The functional is PBE.

Summary:
magnetization = 0.0 μB per formula unit
calculated volume = 26.2 Å³ per atom

The structure in CIF format:
```
data_ThTlHg4
_symmetry_space_group_name_H-M 'P 1 2/m 1'
_symmetry_Int_Tables_number 10
_cell_length_a 3.3902
_cell_length_b 5.1248
_cell_length_c 9.0466
_cell_angle_alpha 90.00
_cell_angle_beta 90.20
_cell_angle_gamma 90.00
loop_
_symmetry_equiv_pos_as_xyz
'x,y,z'
'-x,-y,-z'
'-x,y,-z'
'x,-y,z'
loop_
_atom_site_label
_atom_site_type_symbol
_atom_site_fract_x
_atom_site_fract_y
_atom_site_fract_z
Th1 Th 0.0000 0.0000 0.0000
Tl1 Tl 0.0000 0.5000 0.5000
Hg1 Hg 0.4982 0.5000 0.8342
Hg2 Hg 0.4993 0.0000 0.6652
```

***

*b*
This record from Alexandria describes ThTlHg4 after structural relaxation. The functional is PBE.

Summary:
magnetization = 0.0 μB per formula unit
calculated volume = 26.2 Å³ per atom

The structure in CIF format:
```
data_ThTlHg4
_symmetry_space_group_name_H-M 'F -4 3 m'
_symmetry_Int_Tables_number 216
_symmetry_space_group_name_Hall 'F -4 2 3'
_cell_length_a 8.5718
_cell_length_b 8.5718
_cell_length_c 8.5718
_cell_angle_alpha 90.00
_cell_angle_beta 90.00
_cell_angle_gamma 90.00
loop_
_atom_site_label
_atom_site_type_symbol
_atom_site_fract_x
_atom_site_fract_y
_atom_site_fract_z
Th1 Th 0.0000 0.0000 0.0000
Tl1 Tl 0.2500 0.2500 0.7500
Hg1 Hg 0.1250 0.1250 0.3750
```

***

Most stable to least stable: *a*, *b*

***

*a*
This record from Alexandria describes Th4TlHg2 after structural relaxation. The functional is PBE.

Summary:
magnetization = 0.0 μB per formula unit
calculated volume = 31.4 Å³ per atom

The structure in CIF format:
```
data_Th4TlHg2
_symmetry_space_group_name_H-M 'I 4/m m m'
_symmetry_Int_Tables_number 139
_symmetry_space_group_name_Hall '-I 4 2'
_cell_length_a 7.6394
_cell_length_b 7.6394
_cell_length_c 7.5326
_cell_angle_alpha 90.00
_cell_angle_beta 90.00
_cell_angle_gamma 90.00
loop_
_atom_site_label
_atom_site_type_symbol
_atom_site_fract_x
_atom_site_fract_y
_atom_site_fract_z
Th1 Th 0.2500 0.2500 0.2500
Tl1 Tl 0.0000 0.0000 0.0000
Hg1 Hg 0.0000 0.5000 0.0000
```

***

*b*
This record from Alexandria describes Th4TlHg2 after structural relaxation. The functional is PBE.

Summary:
magnetization = 0.0 μB per formula unit
calculated volume = 32.4 Å³ per atom

The structure in CIF format:
```
data_Th4TlHg2
_symmetry_space_group_name_H-M 'R -3 m'
_symmetry_Int_Tables_number 166
_symmetry_space_group_name_Hall '-R 3 2"'
_cell_length_a 4.7761
_cell_length_b 4.7761
_cell_length_c 34.4376
_cell_angle_alpha 90.00
_cell_angle_beta 90.00
_cell_angle_gamma 120.00
loop_
_atom_site_label
_atom_site_type_symbol
_atom_site_fract_x
_atom_site_fract_y
_atom_site_fract_z
Th1 Th 0.0000 0.0000 0.1166
Th2 Th 0.0000 0.0000 0.3053
Tl1 Tl 0.0000 0.0000 0.5000
Hg1 Hg 0.0000 0.0000 0.4039
```

***

Most stable to least stable: *a*, *b*

***

*a*
This record from Alexandria describes TmThHg2 after structural relaxation. The functional is PBE.

Summary:
magnetization = 0.0 μB per formula unit
calculated volume = 27.7 Å³ per atom

The structure in CIF format:
```
data_TmThHg2
_symmetry_space_group_name_H-M 'R 3 m'
_symmetry_Int_Tables_number 160
_symmetry_space_group_name_Hall 'R 3 -2"'
_cell_length_a 3.6455
_cell_length_b 3.6455
_cell_length_c 28.9176
_cell_angle_alpha 90.00
_cell_angle_beta 90.00
_cell_angle_gamma 120.00
loop_
_atom_site_label
_atom_site_type_symbol
_atom_site_fract_x
_atom_site_fract_y
_atom_site_fract_z
Tm1 Tm 0.0000 0.0000 0.0000
Th1 Th 0.0000 0.0000 0.1673
Hg1 Hg 0.0000 0.0000 0.4119
Hg2 Hg 0.0000 0.0000 0.5891
```

***

*b*
This record from Alexandria describes TmThHg2 after structural relaxation. The functional is PBE.

Summary:
magnetization = 0.0 μB per formula unit
calculated volume = 26.2 Å³ per atom

The structure in CIF format:
```
data_TmThHg2
_symmetry_space_group_name_H-M 'P 4/m m m'
_symmetry_Int_Tables_number 123
_symmetry_space_group_name_Hall '-P 4 2'
_cell_length_a 3.6201
_cell_length_b 3.6201
_cell_length_c 8.0013
_cell_angle_alpha 90.00
_cell_angle_beta 90.00
_cell_angle_gamma 90.00
loop_
_atom_site_label
_atom_site_type_symbol
_atom_site_fract_x
_atom_site_fract_y
_atom_site_fract_z
Tm1 Tm 0.0000 0.0000 0.0000
Th1 Th 0.0000 0.0000 0.5000
Hg1 Hg 0.5000 0.5000 0.2251
```

***

Most stable to least stable: *b*, *a*

***

*a*
This record from Alexandria describes TmThHg3 after structural relaxation. The functional is PBE.

Summary:
magnetization = 0.0 μB per formula unit
calculated volume = 25.5 Å³ per atom

The structure in CIF format:
```
data_TmThHg3
_symmetry_space_group_name_H-M 'C m c m'
_symmetry_Int_Tables_number 63
_symmetry_space_group_name_Hall '-C 2c 2'
_cell_length_a 3.5174
_cell_length_b 29.3269
_cell_length_c 4.9500
_cell_angle_alpha 90.00
_cell_angle_beta 90.00
_cell_angle_gamma 90.00
loop_
_atom_site_label
_atom_site_type_symbol
_atom_site_fract_x
_atom_site_fract_y
_atom_site_fract_z
Tm1 Tm 0.0000 0.2121 0.2500
Th1 Th 0.0000 0.0765 0.7500
Hg1 Hg 0.0000 0.3165 0.2500
Hg2 Hg 0.0000 0.3754 0.7500
Hg3 Hg 0.0000 0.4752 0.7500
```

***

*b*
This record from Alexandria describes TmThHg3 after structural relaxation. The functional is PBE.

Summary:
magnetization = 0.0 μB per formula unit
calculated volume = 27.0 Å³ per atom

The structure in CIF format:
```
data_TmThHg3
_symmetry_space_group_name_H-M 'I m m a'
_symmetry_Int_Tables_number 74
_symmetry_space_group_name_Hall '-I 2b 2'
_cell_length_a 5.3695
_cell_length_b 6.3495
_cell_length_c 15.8285
_cell_angle_alpha 90.00
_cell_angle_beta 90.00
_cell_angle_gamma 90.00
loop_
_atom_site_label
_atom_site_type_symbol
_atom_site_fract_x
_atom_site_fract_y
_atom_site_fract_z
Tm1 Tm 0.0000 0.2500 0.1050
Th1 Th 0.0000 0.2500 0.6891
Hg1 Hg 0.0000 0.2500 0.2956
Hg2 Hg 0.0000 0.2500 0.4889
Hg3 Hg 0.0000 0.2500 0.9081
```

***

Most stable to least stable: *a*, *b*